Entry 1:
Material: Ca4C
Method: DFT, PBE
State: optimized geometry

Values from the calculation:
Total magnetic moment ... 0.6 μB per cell
E above lowest polymorph ... 0.035 eV per atom
DFT formation energy ... 0.29 eV per atom

Lattice parameters (Å, degrees): 3.808 3.808 13.777 90.00 90.00 120.00
Sites, in units of the cell vectors:
Ca 0.333 0.667 0.116
Ca 0.333 0.667 0.407
Ca 0.667 0.333 0.593
Ca 0.667 0.333 0.884
C 0.000 0.000 0.500

Entry 2:
Material: CaC2
Method: DFT, PBE
State: optimized geometry

Values from the calculation:
Total magnetic moment ... 0.0 μB per cell
E above lowest polymorph ... 1.752 eV per atom
DFT formation energy ... 1.77 eV per atom

Lattice parameters (Å, degrees): 2.675 2.675 8.663 90.00 90.00 90.00
Sites, in units of the cell vectors:
Ca 0.000 0.000 0.000
Ca 0.500 0.500 0.500
C 0.000 0.000 0.283
C 0.000 0.000 0.717
C 0.500 0.500 0.217
C 0.500 0.500 0.783

Entry 3:
Material: CaC
Method: DFT, PBE
State: optimized geometry

Values from the calculation:
Total magnetic moment ... 1.3 μB per cell
E above lowest polymorph ... 0.587 eV per atom
DFT formation energy ... 0.59 eV per atom

Lattice parameters (Å, degrees): 4.961 4.961 6.268 90.00 90.00 120.00
Sites, in units of the cell vectors:
Ca 0.000 0.000 0.250
Ca 0.000 0.000 0.750
Ca 0.333 0.667 0.250
Ca 0.667 0.333 0.750
C 0.333 0.667 0.645
C 0.333 0.667 0.855
C 0.667 0.333 0.145
C 0.667 0.333 0.355

Entry 4:
Material: Ca7C
Method: DFT, PBE
State: optimized geometry

Values from the calculation:
Total magnetic moment ... 0.0 μB per cell
DFT formation energy ... 0.69 eV per atom

Lattice parameters (Å, degrees): 7.344 7.344 7.344 60.00 60.00 60.00
Sites, in units of the cell vectors:
Ca 0.000 0.000 0.000
Ca 0.000 0.000 0.500
Ca 0.000 0.500 0.000
Ca 0.000 0.500 0.500
Ca 0.500 0.000 0.000
Ca 0.500 0.000 0.500
Ca 0.500 0.500 0.000
C 0.500 0.500 0.500

Entry 5:
Material: CaC6
Method: DFT, PBE
State: optimized geometry

Values from the calculation:
Total magnetic moment ... 0.0 μB per cell
DFT formation energy ... 0.76 eV per atom

Lattice parameters (Å, degrees): 5.098 3.529 7.170 90.00 110.22 90.00
Sites, in units of the cell vectors:
Ca 0.000 0.000 0.000
C 0.125 0.000 0.495
C 0.371 0.000 0.495
C 0.376 0.500 0.000
C 0.624 0.500 0.000
C 0.629 0.000 0.505
C 0.875 0.000 0.505

Entry 6:
Material: Ca2C3
Method: DFT, PBE
State: optimized geometry

Values from the calculation:
Total magnetic moment ... 2.0 μB per cell
E above lowest polymorph ... 1.814 eV per atom
DFT formation energy ... 1.80 eV per atom

Lattice parameters (Å, degrees): 4.162 4.162 5.333 90.00 90.00 120.00
Sites, in units of the cell vectors:
Ca 0.333 0.667 0.248
Ca 0.667 0.333 0.752
C 0.000 0.000 0.500
C 0.333 0.667 0.722
C 0.667 0.333 0.278